[1]
# BaMgHg2Sb (GGA-PBE, relaxed)
data_BaMgHg2Sb
_space_group_name_H-M_alt 'P 4/m m m'
_space_group_IT_number 123
_space_group_name_Hall '-P 4 2'
_cell_length_a 5.4180
_cell_length_b 5.4180
_cell_length_c 5.6261
_cell_angle_alpha 90.00
_cell_angle_beta 90.00
_cell_angle_gamma 90.00
loop_
_atom_site_label
_atom_site_type_symbol
_atom_site_fract_x
_atom_site_fract_y
_atom_site_fract_z
Ba1 Ba 0.0000 0.0000 0.0000
Mg1 Mg 0.5000 0.5000 0.5000
Hg1 Hg 0.0000 0.5000 0.5000
Sb1 Sb 0.5000 0.5000 0.0000
# E_form (uncorrected) (meV per atom): -373
# M_tot (μB per formula unit): 0.00


[2]
# SmDyPt2 (GGA-PBE, relaxed)
data_SmDyPt2
_space_group_name_H-M_alt 'R -3 m'
_space_group_IT_number 166
_space_group_name_Hall '-R 3 2"'
_cell_length_a 4.1040
_cell_length_b 4.1040
_cell_length_c 20.1732
_cell_angle_alpha 90.00
_cell_angle_beta 90.00
_cell_angle_gamma 120.00
loop_
_atom_site_label
_atom_site_type_symbol
_atom_site_fract_x
_atom_site_fract_y
_atom_site_fract_z
Sm1 Sm 0.0000 0.0000 0.0000
Dy1 Dy 0.0000 0.0000 0.5000
Pt1 Pt 0.0000 0.0000 0.2473
# Electronic total energy (eV/atom): -6.46
# M_tot (μB per formula unit): 0.00


[3]
# TaGa2GeH (GGA-PBE, relaxed)
data_TaGa2GeH
_space_group_name_H-M_alt 'P 4/m m m'
_space_group_IT_number 123
_space_group_name_Hall '-P 4 2'
_cell_length_a 5.2145
_cell_length_b 5.2145
_cell_length_c 3.4524
_cell_angle_alpha 90.00
_cell_angle_beta 90.00
_cell_angle_gamma 90.00
loop_
_atom_site_label
_atom_site_type_symbol
_atom_site_fract_x
_atom_site_fract_y
_atom_site_fract_z
Ta1 Ta 0.0000 0.0000 0.0000
Ga1 Ga 0.0000 0.5000 0.0000
Ge1 Ge 0.5000 0.5000 0.5000
H1 H 0.0000 0.0000 0.5000
# Electronic total energy (eV/atom): -4.65
# M_tot (μB per formula unit): 0.00


[4]
# Ba2HfMgSb (GGA-PBE, relaxed)
data_Ba2HfMgSb
_space_group_name_H-M_alt 'P 4/m m m'
_space_group_IT_number 123
_space_group_name_Hall '-P 4 2'
_cell_length_a 6.4353
_cell_length_b 6.4353
_cell_length_c 5.2215
_cell_angle_alpha 90.00
_cell_angle_beta 90.00
_cell_angle_gamma 90.00
loop_
_atom_site_label
_atom_site_type_symbol
_atom_site_fract_x
_atom_site_fract_y
_atom_site_fract_z
Ba1 Ba 0.0000 0.5000 0.0000
Hf1 Hf 0.0000 0.0000 0.5000
Mg1 Mg 0.5000 0.5000 0.0000
Sb1 Sb 0.5000 0.5000 0.5000
# E_form (uncorrected) (meV per atom): 734
# M_tot (μB per formula unit): 2.80